[1]
Material: Ba3Na2Cd2Hg4
Method: DFT, PBE
State: relaxed

Cell lengths 5.1770, 5.1770, 16.6749 Å; angles 90.00, 90.00, 120.00 degrees
Element x y z (fractional)
Ba: 0.0000 0.0000 0.0000
Ba: 0.0000 0.0000 0.2600
Ba: 0.0000 0.0000 0.7400
Na: 0.3333 0.6667 0.5613
Na: 0.6667 0.3333 0.4387
Cd: 0.3333 0.6667 0.1333
Cd: 0.6667 0.3333 0.8667
Hg: 0.3333 0.6667 0.3707
Hg: 0.3333 0.6667 0.8678
Hg: 0.6667 0.3333 0.1322
Hg: 0.6667 0.3333 0.6293

energy relative to the elements = -0.348 eV/atom
crystal system = trigonal
raw total energy = -15.3 eV per formula unit
calculated volume = 387.04 Å³ per cell
symmetry = P-3m1 (164)
total moment = 0.00 μB per cell


[2]
Material: BaNaCd2Hg2
Method: DFT, PBE
State: relaxed

Cell lengths 5.1329, 5.1329, 7.6463 Å; angles 90.00, 90.00, 120.00 degrees
Element x y z (fractional)
Ba: 0.0000 0.0000 0.0000
Na: 0.0000 0.0000 0.5000
Cd: 0.3333 0.6667 0.3097
Cd: 0.6667 0.3333 0.6903
Hg: 0.3333 0.6667 0.7184
Hg: 0.6667 0.3333 0.2816

energy relative to the elements = -0.326 eV/atom
crystal system = trigonal
raw total energy = -7.6 eV per formula unit
calculated volume = 174.47 Å³ per cell
symmetry = P-3m1 (164)
total moment = 0.00 μB per cell


[3]
Material: BaNaCd2Hg4
Method: DFT, PBE
State: relaxed

Cell lengths 10.1918, 10.1918, 10.1918 Å; angles 29.08, 29.08, 29.08 degrees
Element x y z (fractional)
Ba: 0.0000 0.0000 0.0000
Na: 0.5000 0.5000 0.5000
Cd: 0.2373 0.2373 0.2373
Cd: 0.7627 0.7627 0.7627
Hg: 0.1295 0.1295 0.1295
Hg: 0.3933 0.3933 0.3933
Hg: 0.6067 0.6067 0.6067
Hg: 0.8705 0.8705 0.8705

energy relative to the elements = -0.278 eV/atom
crystal system = trigonal
raw total energy = -8.5 eV per formula unit
calculated volume = 221.25 Å³ per cell
symmetry = R-3m (166)
total moment = 0.00 μB per cell


- Which value of calculated volume does entry 3 give?
  221.25 Å³ per cell